{"formula": "Tb5ErGa6", "functional": "GGA-PBE", "state": "relaxed", "delta_e_f_mev_per_atom": -583, "n_ef_per_ev_fu": 4.63, "m_tot_mub_per_fu": 0.0, "crystal_system": "monoclinic", "lattice": [[4.368, -7.609, 0.000], [4.368, 7.609, 0.000], [-2.922, 0.000, 4.136]], "species": ["Tb", "Tb", "Tb", "Tb", "Tb", "Er", "Ga", "Ga", "Ga", "Ga", "Ga", "Ga"], "fractional_positions": [[0.000, 0.000, 0.000], [0.166, 0.834, 0.500], [0.332, 0.668, 0.000], [0.668, 0.332, 0.000], [0.834, 0.166, 0.500], [0.500, 0.500, 0.500], [0.087, 0.418, 0.252], [0.254, 0.254, 0.754], [0.418, 0.087, 0.252], [0.582, 0.913, 0.748], [0.746, 0.746, 0.246], [0.913, 0.582, 0.748]]}